# 1
This record from Alexandria describes crystalline BiPbSN2 at its relaxed geometry. The functional is PBE.

Cell: 4.320 4.320 5.336 Å, 90.00 90.00 90.00°
Space group P4/mmm (No. 123)
Inequivalent atoms, fractional coordinates:
Bi  0.000  0.000  0.000 (multiplicity 1)
Pb  0.500  0.500  0.500 (multiplicity 1)
S  0.500  0.500  0.000 (multiplicity 1)
N  0.000  0.500  0.500 (multiplicity 2)

Properties
**Fermi-level density of states**: 0.2398 states/eV per atom
**V**: 100 Å³/cell
**E**: -4.265 eV/atom
**Energy relative to the elements, uncorrected**: 1409 meV per atom

# 2
This record from Alexandria describes crystalline Sc4BiPbN at its relaxed geometry. The functional is PBE.

Cell: 6.287 15.156 6.285 Å, 90.00 90.00 90.00°
Space group Cmcm (No. 63)
Inequivalent atoms, fractional coordinates:
Sc  0.000  0.101  0.250 (multiplicity 4)
Sc  0.000  0.397  0.250 (multiplicity 4)
Sc  0.250  0.250  0.000 (multiplicity 8)
Bi  0.000  0.399  0.750 (multiplicity 4)
Pb  0.000  0.101  0.750 (multiplicity 4)
N  0.000  0.249  0.250 (multiplicity 4)

Properties
**Fermi-level density of states**: 0.9018 states/eV per atom
**V**: 599 Å³/cell
**E**: -6.818 eV/atom
**Energy relative to the elements, uncorrected**: -927 meV per atom

# 3
This record from Alexandria describes crystalline Bi2PbSeN at its relaxed geometry. The functional is PBE.

Cell: 5.520 5.520 5.764 Å, 90.00 90.00 90.00°
Space group P4/mmm (No. 123)
Inequivalent atoms, fractional coordinates:
Bi  0.000  0.500  0.000 (multiplicity 2)
Pb  0.000  0.000  0.500 (multiplicity 1)
Se  0.000  0.000  0.000 (multiplicity 1)
N  0.500  0.500  0.500 (multiplicity 1)

Properties
**Fermi-level density of states**: 1.6777 states/eV per atom
**V**: 176 Å³/cell
**E**: -3.116 eV/atom
**Energy relative to the elements, uncorrected**: 1540 meV per atom

# 4
This record from Alexandria describes crystalline BiPb2SeN at its relaxed geometry. The functional is PBE.

Cell: 5.683 5.683 5.477 Å, 90.00 90.00 90.00°
Space group P4/mmm (No. 123)
Inequivalent atoms, fractional coordinates:
Bi  0.000  0.000  0.000 (multiplicity 1)
Pb  0.000  0.500  0.500 (multiplicity 2)
Se  0.000  0.000  0.500 (multiplicity 1)
N  0.500  0.500  0.000 (multiplicity 1)

Properties
**Fermi-level density of states**: 0.7156 states/eV per atom
**V**: 177 Å³/cell
**E**: -3.180 eV/atom
**Energy relative to the elements, uncorrected**: 1441 meV per atom

# 5
This record from Alexandria describes crystalline Sm4BiPbN at its relaxed geometry. The functional is PBE.

Cell: 6.888 16.470 6.884 Å, 90.00 90.00 90.00°
Space group Cmcm (No. 63)
Inequivalent atoms, fractional coordinates:
Sm  0.000  0.093  0.250 (multiplicity 4)
Sm  0.000  0.406  0.250 (multiplicity 4)
Sm  0.250  0.250  0.000 (multiplicity 8)
Bi  0.000  0.394  0.750 (multiplicity 4)
Pb  0.000  0.105  0.750 (multiplicity 4)
N  0.000  0.249  0.250 (multiplicity 4)

Properties
**Fermi-level density of states**: 0.8472 states/eV per atom
**V**: 781 Å³/cell
**E**: -5.833 eV/atom
**Energy relative to the elements, uncorrected**: -862 meV per atom

# 6
This record from Alexandria describes crystalline SnBiPb2N at its relaxed geometry. The functional is PBE.

Cell: 6.103 6.103 3.994 Å, 90.00 90.00 90.00°
Space group P4/mmm (No. 123)
Inequivalent atoms, fractional coordinates:
Sn  0.000  0.000  0.000 (multiplicity 1)
Bi  0.500  0.500  0.500 (multiplicity 1)
Pb  0.000  0.500  0.000 (multiplicity 2)
N  0.000  0.000  0.500 (multiplicity 1)

Properties
**Fermi-level density of states**: 0.4839 states/eV per atom
**V**: 149 Å³/cell
**E**: -4.054 eV/atom
**Energy relative to the elements, uncorrected**: 671 meV per atom

# 7
This record from Alexandria describes crystalline BiTePb2N at its relaxed geometry. The functional is PBE.

Cell: 5.266 5.266 4.651 Å, 90.00 90.00 90.00°
Space group P4/mmm (No. 123)
Inequivalent atoms, fractional coordinates:
Bi  0.000  0.000  0.000 (multiplicity 1)
Te  0.500  0.500  0.000 (multiplicity 1)
Pb  0.000  0.500  0.500 (multiplicity 2)
N  0.500  0.500  0.500 (multiplicity 1)

Properties
**Fermi-level density of states**: 0.4764 states/eV per atom
**V**: 129 Å³/cell
**E**: -4.136 eV/atom
**Energy relative to the elements, uncorrected**: 417 meV per atom

# 8
This record from Alexandria describes crystalline BiTePbN2 at its relaxed geometry. The functional is PBE.

Cell: 4.598 4.598 6.387 Å, 90.00 90.00 90.00°
Space group P4/mmm (No. 123)
Inequivalent atoms, fractional coordinates:
Bi  0.000  0.000  0.000 (multiplicity 1)
Te  0.000  0.000  0.500 (multiplicity 1)
Pb  0.500  0.500  0.500 (multiplicity 1)
N  0.000  0.500  0.000 (multiplicity 2)

Properties
**Fermi-level density of states**: 0.6847 states/eV per atom
**V**: 135 Å³/cell
**E**: -4.175 eV/atom
**Energy relative to the elements, uncorrected**: 1301 meV per atom

# 9
This record from Alexandria describes crystalline BiTePbN2 at its relaxed geometry. The functional is PBE.

Cell: 4.577 4.577 6.159 Å, 90.00 90.00 90.00°
Space group P4/mmm (No. 123)
Inequivalent atoms, fractional coordinates:
Bi  0.000  0.000  0.000 (multiplicity 1)
Te  0.500  0.500  0.000 (multiplicity 1)
Pb  0.500  0.500  0.500 (multiplicity 1)
N  0.000  0.500  0.500 (multiplicity 2)

Properties
**Fermi-level density of states**: 0.7170 states/eV per atom
**V**: 129 Å³/cell
**E**: -3.949 eV/atom
**Energy relative to the elements, uncorrected**: 1528 meV per atom

# 10
This record from Alexandria describes crystalline ThBi2PbN at its relaxed geometry. The functional is PBE.

Cell: 4.049 4.049 18.933 Å, 90.00 90.00 90.00°
Space group P4/nmm (No. 129, origin choice 2)
Inequivalent atoms, fractional coordinates:
Th  0.250  0.250  0.061 (multiplicity 2)
Bi  0.250  0.250  0.447 (multiplicity 2)
Bi  0.250  0.250  0.813 (multiplicity 2)
Pb  0.250  0.250  0.646 (multiplicity 2)
N  0.250  0.750  0.000 (multiplicity 2)

Properties
**Fermi-level density of states**: 0.4298 states/eV per atom
**V**: 310 Å³/cell
**E**: -6.075 eV/atom
**Energy relative to the elements, uncorrected**: -631 meV per atom

# 11
This record from Alexandria describes crystalline Y4BiPbN at its relaxed geometry. The functional is PBE.

Cell: 6.712 16.171 6.707 Å, 90.00 90.00 90.00°
Space group Cmcm (No. 63)
Inequivalent atoms, fractional coordinates:
Y  0.000  0.093  0.250 (multiplicity 4)
Y  0.000  0.406  0.250 (multiplicity 4)
Y  0.250  0.250  0.000 (multiplicity 8)
Bi  0.000  0.395  0.750 (multiplicity 4)
Pb  0.000  0.105  0.750 (multiplicity 4)
N  0.000  0.249  0.250 (multiplicity 4)

Properties
**Fermi-level density of states**: 0.9483 states/eV per atom
**V**: 728 Å³/cell
**E**: -6.878 eV/atom
**Energy relative to the elements, uncorrected**: -911 meV per atom

# 12
This record from Alexandria describes crystalline BiPdN2 at its relaxed geometry. The functional is PBE.

Cell: 3.856 3.857 16.239 Å, 92.50 92.46 90.01°
Space group P-1 (No. 2)
Inequivalent atoms, fractional coordinates:
Bi  0.023  0.023  0.126 (multiplicity 2)
Pd  0.000  0.500  0.000 (multiplicity 1)
Pd  0.500  0.000  0.000 (multiplicity 1)
N  0.158  0.614  0.632 (multiplicity 2)
N  0.303  0.757  0.586 (multiplicity 2)

Properties
**Fermi-level density of states**: 0.0668 states/eV per atom
**V**: 241 Å³/cell
**E**: -6.461 eV/atom
**Energy relative to the elements, uncorrected**: -30 meV per atom